No. 1
RbPu2S4: relaxed, GGA-PBE.

abc: 4.051 13.379 13.779
angles: 90.00 90.00 90.00
Space group Cmcm (No. 63)
Inequivalent atoms, fractional coordinates:
Rb1 0.000 0.107 0.250 x4
Pu1 0.000 0.365 0.065 x8
S1 0.000 0.000 0.000 x4
S2 0.000 0.260 0.603 x8
S3 0.000 0.413 0.250 x4

Properties
- N(E_F): 2.3891 states/eV/atom

No. 2
RbPuS2: relaxed, GGA-PBE.

abc: 3.539 3.539 7.846
angles: 90.00 90.00 90.00
Space group P4/mmm (No. 123)
Inequivalent atoms, fractional coordinates:
Rb1 0.000 0.000 0.000 x1
Pu1 0.000 0.000 0.500 x1
S1 0.500 0.500 0.301 x2

Properties
- N(E_F): 1.8530 states/eV/atom

No. 3
RbPuS2: relaxed, GGA-PBE.

abc: 4.1225 4.1225 23.2583
angles: 90.00 90.00 120.00
Space group R3m (No. 160, hexagonal axes)
Inequivalent atoms, fractional coordinates:
Rb1 0.0000 0.0000 0.0000 x3
Pu1 0.0000 0.0000 0.8306 x3
S1 0.0000 0.0000 0.2269 x3
S2 0.0000 0.0000 0.4344 x3

Properties
- N(E_F): 2.0982 states/eV/atom

No. 4
Rb2PuS3: relaxed, GGA-PBE.

abc: 7.392 12.784 8.077
angles: 90.00 108.24 90.00
Space group C2/m (No. 12)
Inequivalent atoms, fractional coordinates:
Rb1 0.000 0.000 0.000 x2
Rb2 0.000 0.153 0.500 x4
Rb3 0.000 0.500 0.500 x2
Pu1 0.000 0.332 0.000 x4
S1 0.180 0.500 0.193 x4
S2 0.239 0.306 0.804 x8

Properties
- N(E_F): 1.2130 states/eV/atom

no.,formation energy from raw total energies (meV/atom)
1,-1510.0
2,-1362.5
3,-1548.8
4,-1367.1